(A)
## TaRhS2N (PBE)

Data for an optimized crystal structure of TaRhS2N.

## Properties
Magnetic moment (μB/atom): 0.370

Lattice parameters (Å, degrees): 4.7925 4.7925 3.5982 90.00 90.00 90.00
Positions (direct):
1 Ta 0.0000 0.0000 0.0000
2 Rh 0.5000 0.5000 0.5000
3 S 0.0000 0.5000 0.5000
4 S 0.5000 0.0000 0.5000
5 N 0.5000 0.5000 0.0000

(B)
## TaRhS2N (PBE)

Data for an optimized crystal structure of TaRhS2N.

## Properties
Magnetic moment (μB/atom): 0.526

Lattice parameters (Å, degrees): 4.8684 4.8684 3.8930 90.00 90.00 90.00
Positions (direct):
1 Ta 0.0000 0.0000 0.0000
2 Rh 0.5000 0.5000 0.5000
3 S 0.0000 0.5000 0.0000
4 S 0.5000 0.0000 0.0000
5 N 0.0000 0.0000 0.5000

Preferred: (B); penalty for the next structure: 360 meV per atom.

(A)
## TeRhSN2 (PBE)

Data for an optimized crystal structure of TeRhSN2.

## Properties
Magnetic moment (μB/atom): 0.083

Lattice parameters (Å, degrees): 3.8021 3.8021 5.9906 90.00 90.00 90.00
Positions (direct):
1 Te 0.0000 0.0000 0.0000
2 Rh 0.0000 0.0000 0.5000
3 S 0.5000 0.5000 0.0000
4 N 0.0000 0.5000 0.5000
5 N 0.5000 0.0000 0.5000

(B)
## TeRhSN2 (PBE)

Data for an optimized crystal structure of TeRhSN2.

## Properties
Magnetic moment (μB/atom): 0.001

Lattice parameters (Å, degrees): 3.5605 3.5605 7.5598 90.00 90.00 90.00
Positions (direct):
1 Te 0.0000 0.0000 0.0000
2 Rh 0.5000 0.5000 0.0000
3 S 0.0000 0.0000 0.5000
4 N 0.0000 0.5000 0.5000
5 N 0.5000 0.0000 0.5000

Preferred: (A); penalty for the next structure: 509 meV per atom.

(A)
## TeRhSN2 (PBE)

Data for an optimized crystal structure of TeRhSN2.

## Properties
Magnetic moment (μB/atom): 0.314

Lattice parameters (Å, degrees): 3.8501 3.8501 5.5937 90.00 90.00 90.00
Positions (direct):
1 Te 0.0000 0.0000 0.0000
2 Rh 0.5000 0.5000 0.5000
3 S 0.0000 0.0000 0.5000
4 N 0.0000 0.5000 0.0000
5 N 0.5000 0.0000 0.0000

(B)
## TeRhSN2 (PBE)

Data for an optimized crystal structure of TeRhSN2.

## Properties
Magnetic moment (μB/atom): 0.171

Lattice parameters (Å, degrees): 3.9090 3.9090 5.0402 90.00 90.00 90.00
Positions (direct):
1 Te 0.0000 0.0000 0.0000
2 Rh 0.5000 0.5000 0.5000
3 S 0.5000 0.5000 0.0000
4 N 0.0000 0.5000 0.5000
5 N 0.5000 0.0000 0.5000

Preferred: (B); penalty for the next structure: 545 meV per atom.

(A)
## Te2RhSN (PBE)

Data for an optimized crystal structure of Te2RhSN.

## Properties
Magnetic moment (μB/atom): 0.000

Lattice parameters (Å, degrees): 5.4390 5.4390 3.6334 90.00 90.00 90.00
Positions (direct):
1 Te 0.0000 0.5000 0.0000
2 Te 0.5000 0.0000 0.0000
3 Rh 0.0000 0.0000 0.0000
4 S 0.5000 0.5000 0.5000
5 N 0.0000 0.0000 0.5000

(B)
## Te2RhSN (PBE)

Data for an optimized crystal structure of Te2RhSN.

## Properties
Magnetic moment (μB/atom): 0.000

Lattice parameters (Å, degrees): 5.2810 5.2810 3.2938 90.00 90.00 90.00
Positions (direct):
1 Te 0.0000 0.5000 0.0000
2 Te 0.5000 0.0000 0.0000
3 Rh 0.0000 0.0000 0.5000
4 S 0.5000 0.5000 0.0000
5 N 0.5000 0.5000 0.5000

Preferred: (A); penalty for the next structure: 288 meV per atom.

(A)
## TiRhSN2 (PBE)

Data for an optimized crystal structure of TiRhSN2.

## Properties
Magnetic moment (μB/atom): 0.255

Lattice parameters (Å, degrees): 3.8025 3.8025 4.9366 90.00 90.00 90.00
Positions (direct):
1 Ti 0.0000 0.0000 0.0000
2 Rh 0.5000 0.5000 0.5000
3 S 0.5000 0.5000 0.0000
4 N 0.0000 0.5000 0.5000
5 N 0.5000 0.0000 0.5000

(B)
## TiRhSN2 (PBE)

Data for an optimized crystal structure of TiRhSN2.

## Properties
Magnetic moment (μB/atom): 0.134

Lattice parameters (Å, degrees): 3.8154 3.8154 4.9395 90.00 90.00 90.00
Positions (direct):
1 Ti 0.0000 0.0000 0.0000
2 Rh 0.5000 0.5000 0.5000
3 S 0.0000 0.0000 0.5000
4 N 0.0000 0.5000 0.0000
5 N 0.5000 0.0000 0.0000

Preferred: (B); penalty for the next structure: 160 meV per atom.

(A)
## TlRhSN2 (PBE)

Data for an optimized crystal structure of TlRhSN2.

## Properties
Magnetic moment (μB/atom): 0.000

Lattice parameters (Å, degrees): 3.8915 3.8915 5.2711 90.00 90.00 90.00
Positions (direct):
1 Tl 0.0000 0.0000 0.0000
2 Rh 0.5000 0.5000 0.5000
3 S 0.5000 0.5000 0.0000
4 N 0.0000 0.5000 0.5000
5 N 0.5000 0.0000 0.5000

(B)
## TlRhSN2 (PBE)

Data for an optimized crystal structure of TlRhSN2.

## Properties
Magnetic moment (μB/atom): 0.954

Lattice parameters (Å, degrees): 4.1718 4.1718 5.6441 90.00 90.00 90.00
Positions (direct):
1 Tl 0.0000 0.0000 0.0000
2 Rh 0.5000 0.5000 0.5000
3 S 0.0000 0.0000 0.5000
4 N 0.0000 0.5000 0.0000
5 N 0.5000 0.0000 0.0000

Preferred: (A); penalty for the next structure: 1291 meV per atom.

(A)
## TlRhS2N (PBE)

Data for an optimized crystal structure of TlRhS2N.

## Properties
Magnetic moment (μB/atom): 0.000

Lattice parameters (Å, degrees): 5.0016 5.0016 3.6836 90.00 90.00 90.00
Positions (direct):
1 Tl 0.0000 0.0000 0.0000
2 Rh 0.5000 0.5000 0.5000
3 S 0.0000 0.5000 0.5000
4 S 0.5000 0.0000 0.5000
5 N 0.5000 0.5000 0.0000

(B)
## TlRhS2N (PBE)

Data for an optimized crystal structure of TlRhS2N.

## Properties
Magnetic moment (μB/atom): 0.411

Lattice parameters (Å, degrees): 5.1561 5.1561 4.0689 90.00 90.00 90.00
Positions (direct):
1 Tl 0.0000 0.0000 0.0000
2 Rh 0.5000 0.5000 0.5000
3 S 0.0000 0.5000 0.0000
4 S 0.5000 0.0000 0.0000
5 N 0.0000 0.0000 0.5000

Preferred: (A); penalty for the next structure: 1492 meV per atom.